Here is Na2UBeO6 after structural relaxation from Alexandria via LeMat-Bulk. Energies are from PBE.

Structure (POSCAR):
```
Na2UBeO6
1.0
5.4980 -0.0003 0.0000
0.0003 5.4980 0.0000
2.7491 2.7488 3.8877
Na O Be U
2 6 1 1
direct
0.7500 0.2500 0.5000 Na
0.2500 0.7500 0.5000 Na
0.2365 0.2365 0.0000 O
0.2365 0.7635 0.0000 O
0.7635 0.2365 0.0000 O
0.7635 0.7635 0.4730 O
0.2365 0.2365 0.5270 O
0.7635 0.7635 0.0000 O
0.0000 0.0000 0.0000 Be
0.5000 0.5000 0.0000 U
```

Values from the calculation:
- space-group type = Fm-3m (225)
- energy relative to the elements, uncorrected (eV per formula unit) = -20.4